A plane-wave DFT calculation with PBE was carried out for a relaxed RbBa2Ge2 crystal.

The space group is P4/mbm (No. 127) and the conventional cell measures 10.107, 10.107 and 3.589 Å, with angles of 90.00, 90.00 and 90.00 degrees. Symmetry generates all atoms from Rb at (0.000, 0.000, 0.000), Ba at (0.129, 0.371, 0.000) and Ge at (0.168, 0.668, 0.500).

The calculation puts the density of states at the Fermi level at 0.78 states/eV/atom. The value obtained for the relative energy among the computed polymorphs is 46.9 kJ/mol of formula units. As for the total magnetic moment: 0.000 μB/f.u. The volume is 366.6 Å³ per cell. For the formation enthalpy at 0 K, the calculation gives -0.212 eV per atom.